Entry 1:
# PBEsol YSi2Ru2, optimized geometry
data_YSi2Ru2
_cell_length_a 4.133
_cell_length_b 4.133
_cell_length_c 5.575
_cell_angle_alpha 111.75
_cell_angle_beta 111.75
_cell_angle_gamma 90.00
_space_group_name_H-M_alt 'P 1'
_space_group_IT_number 1
_space_group_name_Hall 'P 1'
loop_
_atom_site_label
_atom_site_type_symbol
_atom_site_fract_x
_atom_site_fract_y
_atom_site_fract_z
_atom_site_occupancy
Y1 Y 0.000 0.000 0.000 1
Ru1 Ru 0.250 0.750 0.500 1
Ru2 Ru 0.750 0.250 0.500 1
Si1 Si 0.369 0.369 0.738 1
Si2 Si 0.631 0.631 0.262 1
# ΔE_f (raw): -0.929 eV per atom
# M_tot: 0.000 μB per atom
# symmetry: No. 139
# uncorrected energy: -43.31 eV for the cell shown

=====

Entry 2:
# PBEsol Mn5Fe3, optimized geometry
data_Mn5Fe3
_cell_length_a 3.458
_cell_length_b 4.893
_cell_length_c 4.893
_cell_angle_alpha 90.02
_cell_angle_beta 90.00
_cell_angle_gamma 90.00
_space_group_name_H-M_alt 'P 1'
_space_group_IT_number 1
_space_group_name_Hall 'P 1'
loop_
_atom_site_label
_atom_site_type_symbol
_atom_site_fract_x
_atom_site_fract_y
_atom_site_fract_z
_atom_site_occupancy
Fe1 Fe 0.000 0.500 0.500 1
Fe2 Fe 0.500 0.746 0.254 1
Fe3 Fe 0.500 0.254 0.746 1
Mn1 Mn 0.000 0.000 0.000 1
Mn2 Mn 0.000 0.500 0.000 1
Mn3 Mn 0.000 0.000 0.500 1
Mn4 Mn 0.500 0.750 0.750 1
Mn5 Mn 0.500 0.250 0.250 1
# M_tot: 0.031 μB per atom
# symmetry: No. 65
# formation enthalpy at 0 K: 0.3 eV per formula unit
# uncorrected energy: -75.39 eV for the cell shown